Entry 1:
SrSn2Au: optimized geometry, GGA-PBE.

abc: 4.498 4.498 9.227
angles: 75.89 75.89 60.00
Fractional coordinates of all 4 atoms:
Sr 0.000 0.000 0.000
Au 0.500 0.500 0.500
Sn 0.127 0.127 0.619
Sn 0.873 0.873 0.381

Output
Total energy   -3.313 eV/atom
Total magnetic moment   0.0 μB/cell
Calculated formation energy   -0.0715 eV/atom
Space-group type   R-3m, No. 166
N(E_F)   4.4 states/eV per cell

---

Entry 2:
La2TiCuS5: optimized geometry, GGA-PBE.

abc: 3.887 8.539 11.454
angles: 90.00 90.00 103.16
Site moments in Bohr magnetons follow the coordinates.
Fractional coordinates of all 18 atoms:
La 0.873 0.745 0.812  0.00
La 0.119 0.237 0.697  -0.01
La 0.127 0.255 0.312  0.00
La 0.881 0.763 0.197  -0.01
Ti 0.809 0.618 0.513  -0.48
Ti 0.191 0.382 0.013  -0.48
Cu 0.567 0.135 0.945  0.01
Cu 0.433 0.865 0.445  0.01
S 0.347 0.694 0.008  0.00
S 0.696 0.392 0.867  0.01
S 0.499 0.997 0.773  0.00
S 0.293 0.586 0.660  0.00
S 0.948 0.897 0.549  0.02
S 0.653 0.306 0.508  0.00
S 0.304 0.608 0.367  0.01
S 0.501 0.003 0.273  0.00
S 0.707 0.414 0.160  0.00
S 0.052 0.103 0.049  0.02

Output
Raw formation energy   -1641.6 meV per atom
Total energy   -6.362 eV/atom
Total magnetic moment   1.0 μB/cell
Space-group type   Cmc2_1, No. 36
N(E_F)   4.8 states/eV per cell

---

Entry 3:
PmPa2PbO8: optimized geometry, GGA-PBE.

abc: 5.510 5.510 6.700
angles: 114.28 114.28 90.00
Fractional coordinates of all 12 atoms:
Pm 0.000 0.000 0.000
Pa 0.500 0.500 0.000
Pa 0.250 0.750 0.500
Pb 0.750 0.250 0.500
O 0.876 0.854 0.248
O 0.372 0.394 0.248
O 0.606 0.628 0.751
O 0.145 0.124 0.751
O 0.876 0.394 0.249
O 0.372 0.855 0.249
O 0.146 0.628 0.752
O 0.606 0.124 0.752

Output
Raw formation energy   -3057.8 meV per atom
Total energy   -8.651 eV/atom
Total magnetic moment   0.0 μB/cell
Space-group type   I-4m2, No. 119
N(E_F)   1.5 states/eV per cell

---

Entry 4:
Ba2Sc: optimized geometry, GGA-PBE.

abc: 7.358 7.358 10.219
angles: 69.36 69.36 32.81
Fractional coordinates of all 6 atoms:
Ba 0.668 0.668 0.878
Ba 0.016 0.016 0.299
Ba 0.984 0.984 0.701
Ba 0.332 0.332 0.122
Sc 0.309 0.309 0.556
Sc 0.691 0.691 0.444

Output
Total energy   -3.146 eV/atom
Total magnetic moment   0.0 μB/cell
Calculated formation energy   0.2467 eV/atom
Space-group type   C2/m, No. 12
N(E_F)   9.5 states/eV per cell